(1)
Here is crystalline LaInP2Pb at its relaxed geometry from Alexandria via LeMat-Bulk. Energies are from GGA-PBE.

```
data_LaInP2Pb
_symmetry_space_group_name_H-M 'P 1'
_symmetry_Int_Tables_number 1
_cell_length_a 5.108
_cell_length_b 5.108
_cell_length_c 5.476
_cell_angle_alpha 90.00
_cell_angle_beta 90.00
_cell_angle_gamma 90.00
loop_
_symmetry_equiv_pos_as_xyz
'x,y,z'
loop_
_atom_site_label
_atom_site_fract_x
_atom_site_fract_y
_atom_site_fract_z
La1 0.000 0.000 0.000
In1 0.500 0.500 0.500
P1 0.000 0.500 0.500
P2 0.500 0.000 0.500
Pb1 0.500 0.500 0.000
```

Calculated values
**Crystal system**: tetragonal


(2)
Here is crystalline ZrTe2Pt at its relaxed geometry from Alexandria via LeMat-Bulk. Energies are from GGA-PBE.

```
data_ZrTe2Pt
_symmetry_space_group_name_H-M 'P 1'
_symmetry_Int_Tables_number 1
_cell_length_a 3.811
_cell_length_b 3.811
_cell_length_c 7.209
_cell_angle_alpha 90.00
_cell_angle_beta 90.00
_cell_angle_gamma 90.00
loop_
_symmetry_equiv_pos_as_xyz
'x,y,z'
loop_
_atom_site_label
_atom_site_fract_x
_atom_site_fract_y
_atom_site_fract_z
Zr1 0.000 0.000 0.000
Te1 0.000 0.000 0.374
Te2 0.500 0.500 0.821
Pt1 0.500 0.500 0.192
```

Calculated values
**Formation energy (no corrections)**: -0.622 eV/atom
**Distance to the lowest polymorph of the same formula**: 41 meV per atom
**Crystal system**: tetragonal


(3)
Here is crystalline CsKSn3 at its relaxed geometry from Alexandria via LeMat-Bulk. Energies are from GGA-PBE.

```
data_CsKSn3
_symmetry_space_group_name_H-M 'P 1'
_symmetry_Int_Tables_number 1
_cell_length_a 6.380
_cell_length_b 6.380
_cell_length_c 6.380
_cell_angle_alpha 90.00
_cell_angle_beta 90.00
_cell_angle_gamma 90.00
loop_
_symmetry_equiv_pos_as_xyz
'x,y,z'
loop_
_atom_site_label
_atom_site_fract_x
_atom_site_fract_y
_atom_site_fract_z
Cs1 0.000 0.000 0.000
K1 0.500 0.500 0.500
Sn1 0.000 0.000 0.500
Sn2 0.000 0.500 0.000
Sn3 0.500 0.000 0.000
```

Calculated values
**Distance to the lowest polymorph of the same formula**: 293 meV per atom
**Crystal system**: cubic


(4)
Here is crystalline LaErMgMn at its relaxed geometry from Alexandria via LeMat-Bulk. Energies are from GGA-PBE.

```
data_LaErMgMn
_symmetry_space_group_name_H-M 'P 1'
_symmetry_Int_Tables_number 1
_cell_length_a 5.286
_cell_length_b 5.286
_cell_length_c 5.286
_cell_angle_alpha 60.00
_cell_angle_beta 60.00
_cell_angle_gamma 60.00
loop_
_symmetry_equiv_pos_as_xyz
'x,y,z'
loop_
_atom_site_label
_atom_site_fract_x
_atom_site_fract_y
_atom_site_fract_z
La1 0.000 0.000 0.000
Er1 0.500 0.500 0.500
Mg1 0.250 0.250 0.250
Mn1 0.750 0.750 0.750
```

Calculated values
**Crystal system**: cubic


no.,DOS(E_F) (states/eV per atom),density (Mg/m³),DFT total energy (eV per atom)
1,0.6997,6.08,-4.150
2,0.3711,8.59,-5.840
3,1.0495,3.38,-1.849
4,1.2981,6.13,-4.951